Record 1
ScNi23Rh6 | PBE | relaxed

## Properties
**Formation energy from the elements**: 0.044 eV/atom
**Space group**: No. 225
**Magnetization**: 19.12 μB per formula unit

a b c (Å): 8.018 8.018 8.018
angles (deg): 60.00 60.00 60.00
Site moments in Bohr magnetons follow the coordinates.
Sites, in units of the cell vectors:
Sc 0.500 0.500 0.500  -0.12
Ni 0.632 0.123 0.123  0.70
Ni 0.368 0.877 0.877  0.70
Ni 0.123 0.123 0.632  0.70
Ni 0.123 0.123 0.123  0.70
Ni 0.877 0.877 0.368  0.70
Ni 0.877 0.877 0.877  0.70
Ni 0.123 0.632 0.123  0.70
Ni 0.877 0.368 0.877  0.70
Ni 0.500 0.500 0.000  0.70
Ni 0.000 0.000 0.500  0.70
Ni 0.500 0.000 0.000  0.70
Ni 0.000 0.500 0.500  0.70
Ni 0.500 0.000 0.500  0.70
Ni 0.000 0.500 0.000  0.70
Ni 0.989 0.337 0.337  0.72
Ni 0.011 0.663 0.663  0.72
Ni 0.337 0.337 0.989  0.72
Ni 0.337 0.337 0.337  0.72
Ni 0.663 0.663 0.011  0.72
Ni 0.663 0.663 0.663  0.72
Ni 0.337 0.989 0.337  0.72
Ni 0.663 0.011 0.663  0.72
Ni 0.000 0.000 0.000  0.70
Rh 0.733 0.733 0.267  0.63
Rh 0.267 0.267 0.733  0.63
Rh 0.733 0.267 0.267  0.63
Rh 0.267 0.733 0.733  0.63
Rh 0.733 0.267 0.733  0.63
Rh 0.267 0.733 0.267  0.63

Record 2
ScNiRh | PBE | relaxed

## Properties
**Formation energy from the elements**: -0.469 eV/atom
**Space group**: No. 187
**Magnetization**: 0.00 μB per formula unit
**Polymorph energy (0 for the lowest one)**: 170 meV per atom

a b c (Å): 4.151 4.151 3.200
angles (deg): 90.00 90.00 120.00
Sites, in units of the cell vectors:
Ni 0.000 0.000 0.167
Rh 0.667 0.333 0.167
Sc 0.333 0.667 0.667

Record 3
Sc3Ni8Rh | PBE | relaxed

## Properties
**Formation energy from the elements**: -0.443 eV/atom
**Space group**: No. 160
**Magnetization**: 0.03 μB per formula unit

a b c (Å): 4.835 4.835 8.378
angles (deg): 73.23 73.23 60.00
Sites, in units of the cell vectors:
Sc 0.377 0.377 0.869
Sc 0.990 0.990 0.031
Sc 0.508 0.508 0.476
Ni 0.942 0.437 0.185
Ni 0.437 0.938 0.687
Ni 0.437 0.437 0.185
Ni 0.938 0.938 0.687
Ni 0.188 0.188 0.437
Ni 0.688 0.688 0.936
Ni 0.437 0.942 0.185
Ni 0.938 0.437 0.687
Rh 0.871 0.871 0.386